[1]
VASP calculation (PBE) on BaTl2Pb2 after structural relaxation.

For the calculated total energy, the calculation gives -15.1 eV per formula unit. For the formation energy, the calculation gives -200 meV per atom. For the calculated volume, the calculation gives 33.895 Å³/atom.

The structure belongs to space group P4/mbm (No. 127); the cell edges are 9.3156, 9.3156 and 3.9059 Å and the angles 90.00°, 90.00° and 90.00°. Symmetry generates all atoms from Ba at (0.0000, 0.0000, 0.0000), Tl at (0.1266, 0.3734, 0.0000) and Pb at (0.1675, 0.6675, 0.5000).


[2]
VASP calculation (PBE) on Ba6P2PbBr3 after structural relaxation.

For the calculated total energy, the calculation gives -47.6 eV per formula unit. For the uncorrected formation energy, the calculation gives -1380 meV per atom. For the calculated volume, the calculation gives 40.847 Å³/atom.

The structure belongs to space group C2/m (No. 12); the cell edges are 21.5709, 4.6636 and 10.0255 Å and the angles 90.00°, 103.59° and 90.00°. Symmetry generates all atoms from Ba at (0.0164, 0.0000, 0.2625), Ba at (0.1668, 0.5000, 0.1186), Ba at (0.1782, 0.5000, 0.5666), P at (0.1691, 0.0000, 0.3424), Pb at (0.0000, 0.5000, 0.0000), Br at (0.0000, 0.5000, 0.5000) and Br at (0.1697, 0.0000, 0.8321).


What is the formula in the first record? BaTl2Pb2


Which of these has the highest calculated volume? Ba6P2PbBr3


What is the formula in the second record? Ba6P2PbBr3